No. 1
First-principles (PBE-GGA) data for an optimized crystal structure of NaSmFe, as listed in OQMD.

Offset from the most stable computed form ... 0.00 eV per formula unit
Total magnetic moment ... 1.868 Bohr magnetons per cell

Cell: 4.8038 4.8038 4.8038 Å, 60.00 60.00 60.00°
With the nearest neighbours (Å) after each atom.
Positions (direct):
Na1 0.0000 0.0000 0.0000  4 Fe 2.94
Sm1 0.5000 0.5000 0.5000  4 Fe 2.94
Fe1 0.2500 0.2500 0.2500  4 Na 2.94, 4 Sm 2.94



No. 2
First-principles (PBE-GGA) data for an optimized crystal structure of MgScZnB, as listed in OQMD.

Offset from the most stable computed form ... 1.86 eV per formula unit
Total magnetic moment ... 0.002 Bohr magnetons per cell

Cell: 4.4006 4.4006 4.4006 Å, 60.00 60.00 60.00°
With the nearest neighbours (Å) after each atom.
Positions (direct):
Mg1 0.0000 0.0000 0.0000  4 Sc 2.69, 4 B 2.69
Sc1 0.7500 0.7500 0.7500  4 Mg 2.69, 4 Zn 2.69
Zn1 0.5000 0.5000 0.5000  4 Sc 2.69, 4 B 2.69
B1 0.2500 0.2500 0.2500  4 Mg 2.69, 4 Zn 2.69



No. 3
First-principles (PBE-GGA) data for an optimized crystal structure of Tb5Tl4, as listed in OQMD.

Uncorrected energy ... -71.44 eV for the cell shown
Total magnetic moment ... 0.034 Bohr magnetons per cell

Cell: 9.3494 9.3494 6.6929 Å, 90.00 90.00 120.00°
With the nearest neighbours (Å) after each atom.
Positions (direct):
Tb1 0.0000 0.2891 0.2500  7 Tl 3.15-3.44
Tb2 0.0000 0.7109 0.7500  7 Tl 3.15-3.44
Tb3 0.2891 0.0000 0.2500  7 Tl 3.15-3.44
Tb4 0.2891 0.2891 0.7500  7 Tl 3.15-3.44
Tb5 0.3333 0.6667 0.0000  8 Tb 3.35-3.74, 6 Tl 3.39
Tb6 0.3333 0.6667 0.5000  8 Tb 3.35-3.74, 6 Tl 3.39
Tb7 0.6667 0.3333 0.0000  8 Tb 3.35-3.74, 6 Tl 3.39
Tb8 0.6667 0.3333 0.5000  8 Tb 3.35-3.74, 6 Tl 3.39
Tb9 0.7109 0.0000 0.7500  7 Tl 3.15-3.44
Tb10 0.7109 0.7109 0.2500  7 Tl 3.15-3.44
Tl1 0.0000 0.0000 0.0000  6 Tb 3.18, 2 Tl 3.35
Tl2 0.0000 0.0000 0.5000  6 Tb 3.18, 2 Tl 3.35
Tl3 0.0000 0.3737 0.7500  9 Tb 3.15-3.44
Tl4 0.0000 0.6263 0.2500  9 Tb 3.15-3.44
Tl5 0.3737 0.0000 0.7500  9 Tb 3.15-3.44
Tl6 0.3737 0.3737 0.2500  9 Tb 3.15-3.44
Tl7 0.6263 0.0000 0.2500  9 Tb 3.15-3.44
Tl8 0.6263 0.6263 0.7500  9 Tb 3.15-3.44



No. 4
First-principles (PBE-GGA) data for an optimized crystal structure of Be2Hg, as listed in OQMD.

Uncorrected energy ... -12.95 eV for the cell shown

Cell: 4.7752 4.7752 4.7752 Å, 60.00 60.00 60.00°
With the nearest neighbours (Å) after each atom.
Positions (direct):
Be1 0.0000 0.0000 0.0000  6 Be 2.39
Be2 0.0000 0.0000 0.5000  6 Be 2.39
Be3 0.0000 0.5000 0.0000  6 Be 2.39
Be4 0.5000 0.0000 0.0000  6 Be 2.39
Hg1 0.3750 0.3750 0.3750  12 Be 2.80, 4 Hg 2.92
Hg2 0.6250 0.6250 0.6250  12 Be 2.80, 4 Hg 2.92



No. 5
First-principles (PBE-GGA) data for an optimized crystal structure of La4Zn3Co2, as listed in OQMD.

Energy of formation ... -216 kJ/mol of formula units
Total magnetic moment ... 0.036 Bohr magnetons per cell

Cell: 7.2020 3.8233 7.9387 Å, 90.00 107.07 90.00°
With the nearest neighbours (Å) after each atom.
Positions (direct):
La1 0.0831 0.0000 0.2184  2 Co 2.72
La2 0.3933 0.0000 0.6981  4 Co 2.93-3.07, 2 Zn 3.25
La3 0.6067 0.0000 0.3019  4 Co 2.93-3.07, 2 Zn 3.25
La4 0.9169 0.0000 0.7816  2 Co 2.72
Zn1 0.0000 0.5000 0.5000  2 Co 2.84, 4 La 3.13
Zn2 0.3076 0.5000 0.0171  1 Zn 2.86, 1 Co 2.87
Zn3 0.6924 0.5000 0.9829  1 Zn 2.86, 1 Co 2.87
Co1 0.3390 0.5000 0.3855  1 Co 2.49, 2 La 2.72
Co2 0.6610 0.5000 0.6145  1 Co 2.49, 2 La 2.72



No. 6
First-principles (PBE-GGA) data for an optimized crystal structure of TaCoNiBi, as listed in OQMD.

Offset from the most stable computed form ... 0.00 eV per formula unit
Total magnetic moment ... 0.009 Bohr magnetons per cell

Cell: 4.4627 4.4627 4.4627 Å, 60.00 60.00 60.00°
With the nearest neighbours (Å) after each atom.
Positions (direct):
Ta1 0.0000 0.0000 0.0000  4 Co 2.73, 4 Ni 2.73
Co1 0.7500 0.7500 0.7500  4 Bi 2.73, 4 Ta 2.73
Ni1 0.2500 0.2500 0.2500  4 Bi 2.73, 4 Ta 2.73
Bi1 0.5000 0.5000 0.5000  4 Co 2.73, 4 Ni 2.73